VASP calculation (PBE) on a relaxed RbPt3Au crystal.

Geometry as CIF:
```
data_RbPt3Au
_symmetry_space_group_name_H-M 'P 1'
_symmetry_Int_Tables_number 1
_cell_length_a 5.1019
_cell_length_b 5.1019
_cell_length_c 5.1019
_cell_angle_alpha 90.00
_cell_angle_beta 90.00
_cell_angle_gamma 90.00
loop_
_symmetry_equiv_pos_as_xyz
'x,y,z'
loop_
_atom_site_label
_atom_site_fract_x
_atom_site_fract_y
_atom_site_fract_z
Au1 0.0000 0.0000 0.0000
Pt1 0.0000 0.0000 0.5000
Pt2 0.0000 0.5000 0.0000
Pt3 0.5000 0.0000 0.0000
Rb1 0.5000 0.5000 0.5000
```

**Space group**: Pm-3m, No. 221
**Fermi-level density of states**: 1.269 states/eV per atom
**Energy relative to the elements**: 0.87 eV/atom
**Energy above the lowest structure with this stoichiometry**: 0 meV per atom
**Final energy**: -3.60 eV/atom

VASP calculation (PBE) on a relaxed ScZnIO2 crystal.

Geometry as CIF:
```
data_ScZnIO2
_symmetry_space_group_name_H-M 'P 1'
_symmetry_Int_Tables_number 1
_cell_length_a 4.0423
_cell_length_b 4.0423
_cell_length_c 6.2322
_cell_angle_alpha 90.00
_cell_angle_beta 90.00
_cell_angle_gamma 90.00
loop_
_symmetry_equiv_pos_as_xyz
'x,y,z'
loop_
_atom_site_label
_atom_site_fract_x
_atom_site_fract_y
_atom_site_fract_z
Sc1 0.0000 0.0000 0.0000
Zn1 0.5000 0.5000 0.5000
O1 0.0000 0.5000 0.0000
O2 0.5000 0.0000 0.0000
I1 0.0000 0.0000 0.5000
```

**Space group**: P4/mmm, No. 123
**Fermi-level density of states**: 0.478 states/eV per atom
**Energy above the lowest structure with this stoichiometry**: 0 meV per atom
**Final energy**: -5.07 eV/atom
**Uncorrected formation energy**: -1259 meV/atom

VASP calculation (PBE) on a relaxed TcPOsS2 crystal.

Geometry as CIF:
```
data_TcPOsS2
_symmetry_space_group_name_H-M 'P 1'
_symmetry_Int_Tables_number 1
_cell_length_a 4.7452
_cell_length_b 4.7452
_cell_length_c 4.4449
_cell_angle_alpha 90.00
_cell_angle_beta 90.00
_cell_angle_gamma 90.00
loop_
_symmetry_equiv_pos_as_xyz
'x,y,z'
loop_
_atom_site_label
_atom_site_fract_x
_atom_site_fract_y
_atom_site_fract_z
P1 0.0000 0.0000 0.5000
S1 0.5000 0.0000 0.0000
S2 0.0000 0.5000 0.0000
Tc1 0.5000 0.5000 0.5000
Os1 0.0000 0.0000 0.0000
```

**Space group**: P4/mmm, No. 123
**Fermi-level density of states**: 0.971 states/eV per atom
**Energy above the lowest structure with this stoichiometry**: 0 meV per atom
**Final energy**: -5.90 eV/atom
**Uncorrected formation energy**: 1152 meV/atom

no.,total moment (μB per cell)
1,0.00
2,0.10
3,3.05